Record 1
{
  "formula": "LiSnP2I",
  "functional": "SCAN",
  "state": "single point on PBEsol structure",
  "cell": [[4.934, 0.000, 0.000], [0.000, 4.934, 0.000], [0.000, 0.000, 6.068]],
  "species": ["Li", "Sn", "P", "P", "I"],
  "frac_coords": [[0.000, 0.000, 0.000], [0.000, 0.000, 0.500], [0.000, 0.500, 0.500], [0.500, 0.000, 0.500], [0.500, 0.500, 0.000]],
  "dos_ef_per_ev_fu": 2.1,
  "e_form_raw_ev_per_atom": 0.613
}

Record 2
{
  "formula": "Sc2SbPd2",
  "functional": "SCAN",
  "state": "single point on PBEsol structure",
  "cell": [[-1.893, 1.893, 7.017], [1.893, -1.893, 7.017], [1.893, 1.893, -7.017]],
  "species": ["Sc", "Sc", "Sb", "Pd", "Pd"],
  "frac_coords": [[0.113, 0.113, 0.000], [0.887, 0.887, 0.000], [0.500, 0.500, 0.000], [0.250, 0.750, 0.500], [0.750, 0.250, 0.500]],
  "dos_ef_per_ev_fu": 1.7,
  "e_form_raw_ev_per_atom": -0.698
}